Entry 1:
VASP calculation (GGA-PBE) on crystalline Nd6SiSe4 at its relaxed geometry.

Lattice parameters (Å, degrees): 4.1962 7.1699 21.3021 90.00 90.00 107.02
With the nearest neighbours (Å) after each atom.
Positions (direct):
Nd: 0.5000 0.0000 0.0000  6 Se 2.92-2.97
Nd: 0.5000 0.0000 0.5000  6 Se 2.92-2.97
Nd: 0.0611 0.1222 0.3309  3 Se 2.99-3.01, 2 Si 3.12
Nd: 0.9389 0.8778 0.6691  3 Se 2.99-3.01, 2 Si 3.12
Nd: 0.9389 0.8778 0.8309  3 Se 2.99-3.01, 2 Si 3.12
Nd: 0.0611 0.1222 0.1691  3 Se 2.99-3.01, 2 Si 3.12
Nd: 0.7734 0.5468 0.4065  5 Se 2.97-3.05
Nd: 0.2266 0.4532 0.5935  5 Se 2.97-3.05
Nd: 0.2266 0.4532 0.9065  5 Se 2.97-3.05
Nd: 0.7734 0.5468 0.0935  5 Se 2.97-3.05
Nd: 0.3272 0.6544 0.2500  2 Se 2.91, 2 Si 2.97
Nd: 0.6728 0.3456 0.7500  2 Se 2.91, 2 Si 2.97
Si: 0.6735 0.3470 0.2500  6 Nd 2.97-3.12
Si: 0.3265 0.6530 0.7500  6 Nd 2.97-3.12
Se: 0.8586 0.7172 0.5387  6 Nd 2.97-3.05
Se: 0.4177 0.8355 0.1267  6 Nd 2.91-3.01
Se: 0.1414 0.2828 0.4613  6 Nd 2.97-3.05
Se: 0.5823 0.1645 0.8733  6 Nd 2.91-3.01
Se: 0.8586 0.7172 0.9613  6 Nd 2.97-3.05
Se: 0.1414 0.2828 0.0387  6 Nd 2.97-3.05
Se: 0.5823 0.1645 0.6267  6 Nd 2.91-3.01
Se: 0.4177 0.8355 0.3733  6 Nd 2.91-3.01

Calculated values
theoretical density = 6.55 g/cm3
formation energy without anion corrections = -1.462 eV per atom
total moment = 0.000 μB/atom
final energy = -5.8224 eV/atom

---

Entry 2:
VASP calculation (GGA-PBE) on crystalline BeFeTe2N at its relaxed geometry.

Lattice parameters (Å, degrees): 5.2267 5.2267 3.3707 90.00 90.00 90.00
With the nearest neighbours (Å) after each atom.
Positions (direct):
Be: 0.5000 0.5000 0.5000  8 Te 3.11, 2 Be 3.37
Te: 0.0000 0.5000 0.0000  2 Fe 2.61
Te: 0.5000 0.0000 0.0000  2 Fe 2.61
Fe: 0.0000 0.0000 0.0000  2 N 1.69
N: 0.0000 0.0000 0.5000  2 Fe 1.69

Calculated values
theoretical density = 6.02 g/cm3
formation energy without anion corrections = 0.515 eV per atom
total moment = 0.000 μB/atom
excess energy over the best structure of this formula in the dataset = 0.00 kJ/mol of atoms
final energy = -4.8448 eV/atom

---

Entry 3:
VASP calculation (GGA-PBE) on crystalline DyTm2Au at its relaxed geometry.

Lattice parameters (Å, degrees): 6.6184 6.8935 9.6171 90.00 90.00 90.00
With the nearest neighbours (Å) after each atom.
Positions (direct):
Dy: 0.6144 0.5097 0.2500  2 Au 2.90-2.97
Dy: 0.8856 0.0097 0.2500  2 Au 2.90-2.97
Dy: 0.3856 0.4903 0.7500  2 Au 2.90-2.97
Dy: 0.1144 0.9903 0.7500  2 Au 2.90-2.97
Tm: 0.1953 0.6963 0.0542  2 Au 2.90-2.97
Tm: 0.3047 0.1963 0.4458  2 Au 2.90-2.97
Tm: 0.8047 0.3037 0.5542  2 Au 2.90-2.97
Tm: 0.6953 0.8037 0.9458  2 Au 2.90-2.97
Tm: 0.8047 0.3037 0.9458  2 Au 2.90-2.97
Tm: 0.6953 0.8037 0.5542  2 Au 2.90-2.97
Tm: 0.1953 0.6963 0.4458  2 Au 2.90-2.97
Tm: 0.3047 0.1963 0.0542  2 Au 2.90-2.97
Au: 0.0416 0.4133 0.2500  4 Tm 2.90-2.97, 2 Dy 2.90-2.97
Au: 0.4584 0.9133 0.2500  4 Tm 2.90-2.97, 2 Dy 2.90-2.97
Au: 0.9584 0.5867 0.7500  4 Tm 2.90-2.97, 2 Dy 2.90-2.97
Au: 0.5416 0.0867 0.7500  4 Tm 2.90-2.97, 2 Dy 2.90-2.97

Calculated values
theoretical density = 10.56 g/cm3
total moment = 0.000 μB/atom
excess energy over the best structure of this formula in the dataset = 0.00 kJ/mol of atoms
final energy = -4.6656 eV/atom

---

Entry 4:
VASP calculation (GGA-PBE) on crystalline Ce6Os2NCl3 at its relaxed geometry.

Lattice parameters (Å, degrees): 6.7174 6.7174 7.7069 98.29 98.29 119.95
With the nearest neighbours (Å) after each atom.
Positions (direct):
Ce: 0.9329 0.6260 0.8004  1 N 2.54, 2 Os 2.75-2.78
Ce: 0.7647 0.7647 0.2030  1 N 2.52, 2 Os 2.77
Ce: 0.0671 0.3740 0.1996  1 N 2.54, 2 Os 2.75-2.78
Ce: 0.6260 0.9329 0.8004  1 N 2.54, 2 Os 2.75-2.78
Ce: 0.2353 0.2353 0.7970  1 N 2.52, 2 Os 2.77
Ce: 0.3740 0.0671 0.1996  1 N 2.54, 2 Os 2.75-2.78
Os: 0.3349 0.6651 0.0000  6 Ce 2.75-2.78
Os: 0.6651 0.3349 0.0000  6 Ce 2.75-2.78
N: 0.0000 0.0000 0.0000  6 Ce 2.52-2.54
Cl: 0.1752 0.8248 0.5000  6 Ce 3.10-3.22
Cl: 0.8248 0.1752 0.5000  6 Ce 3.10-3.22
Cl: 0.5000 0.5000 0.5000  6 Ce 3.09-3.28

Calculated values
theoretical density = 7.72 g/cm3
formation energy without anion corrections = -1.043 eV per atom
total moment = 0.398 μB/atom
final energy = -7.0370 eV/atom

---

Entry 5:
VASP calculation (GGA-PBE) on crystalline MnRe2H2 at its relaxed geometry.

Lattice parameters (Å, degrees): 2.8477 2.8477 6.0758 76.45 76.45 90.00
With the nearest neighbours (Å) after each atom.
Positions (direct):
Re: 0.3596 0.3596 0.2807  4 H 1.90
Re: 0.6404 0.6404 0.7193  4 H 1.90
Mn: 0.0000 0.0000 0.0000  8 Re 2.58, 4 Mn 2.85
H: 0.7500 0.2500 0.5000  4 Re 1.90, 4 H 2.01
H: 0.2500 0.7500 0.5000  4 Re 1.90, 4 H 2.01

Calculated values
theoretical density = 15.34 g/cm3
total moment = 0.037 μB/atom
final energy = -7.8838 eV/atom

---

Entry 6:
VASP calculation (GGA-PBE) on crystalline LaCeGd2 at its relaxed geometry.

Lattice parameters (Å, degrees): 3.4910 3.4910 12.5545 82.01 82.01 60.00
With the nearest neighbours (Å) after each atom.
Positions (direct):
Gd: 0.0920 0.0920 0.7240  1 La 3.42, 3 Ce 3.43, 6 Gd 3.49
Gd: 0.9080 0.9080 0.2760  1 La 3.42, 3 Ce 3.43, 6 Gd 3.49
Ce: 0.5000 0.5000 0.5000  6 Gd 3.43, 6 Ce 3.49
La: 0.0000 0.0000 0.0000  2 Gd 3.42, 6 La 3.49

Calculated values
theoretical density = 7.54 g/cm3
total moment = 3.546 μB/atom
excess energy over the best structure of this formula in the dataset = 8.16 kJ/mol of atoms
final energy = -9.6104 eV/atom